The following is a GGA-PBE calculation of a relaxed structure of SrZr3B, from the Alexandria database.

For the energy of formation from the pure elements, the calculation gives 2.698 eV/atom. As for the crystal system: cubic. The value obtained for the calculated volume is 128.9 Å³/cell. As for the density of states at the Fermi level: 1.554 states/eV/atom. As for the total energy: -20.5 eV per cell. The value obtained for the energy above the lowest structure with this stoichiometry is 2456 meV per atom. The calculation puts the total moment at 1.0 μB/cell.

The space group is Pm-3m (No. 221) and the conventional cell measures 5.052, 5.052 and 5.052 Å, with angles of 90.00, 90.00 and 90.00 degrees. The asymmetric unit holds Sr at (0.000, 0.000, 0.000), Zr at (0.000, 0.000, 0.500) and B at (0.500, 0.500, 0.500).